TlIn3Ru | Alexandria via LeMat-Bulk | PBE-GGA | relaxed; energy relative to the elements = 39 meV/atom; ΔE to the lowest computed polymorph = 0 meV per atom; theoretical density = 7.66 g cm⁻³; SG = Pm-3m; magnetization = 0.00 μB per formula unit
1.0
5.203 0.000 0.000
0.000 5.203 0.000
0.000 0.000 5.203
In Ru Tl
3 1 1
direct
0.000 0.500 0.000 In
0.000 0.000 0.500 In
0.500 0.000 0.000 In
0.000 0.000 0.000 Ru
0.500 0.500 0.500 Tl